CoHgF2: optimized geometry, PBE with a Hubbard U.

Summary:
VASP energy (eV/cell): -11.74
Space-group type: No. 225
Offset from the most stable computed form (eV per atom): 0.871

Cell lengths 4.358, 4.358, 4.358 Å; angles 60.00, 60.00, 60.00 degrees
Each line ends with the local moment (μB).
Sites, in units of the cell vectors:
Hg: 0.500 0.500 0.500  0.04
F: 0.750 0.750 0.750  0.07
Co: 0.000 0.000 0.000  2.57
F: 0.250 0.250 0.250  0.07